A relaxed structure of Na2ZnPSe4, computed with PBE-GGA.

Cell lengths 8.4016, 8.2438, 6.4182 Å; angles 90.00, 90.00, 90.00 degrees
Atoms (fractional coordinates):
1 Na 0.2378 0.1612 0.0000
2 Na 0.2622 0.8388 0.5000
3 Na 0.7378 0.8388 0.5000
4 Na 0.7622 0.1612 0.0000
5 Zn 0.0000 0.3648 0.5204
6 Zn 0.5000 0.6352 0.0204
7 P 0.0000 0.6694 0.0319
8 P 0.5000 0.3306 0.5319
9 Se 0.0000 0.4136 0.9088
10 Se 0.0000 0.6423 0.3839
11 Se 0.2403 0.1957 0.4602
12 Se 0.2597 0.8043 0.9602
13 Se 0.5000 0.3577 0.8839
14 Se 0.5000 0.5864 0.4088
15 Se 0.7403 0.8043 0.9602
16 Se 0.7597 0.1957 0.4602

Summary:
N(E_F) in states/eV/f.u.: 3.0
Space-group type: No. 31
Uncorrected formation energy in eV/atom: -0.540